(1)
The following is a DFT calculation (PBE) of a relaxed Mg2SiW crystal.

Cell lengths 9.490, 9.490, 9.490 Å; angles 17.76, 17.76, 17.76 degrees
Fractional positions:
Mg1 0.250 0.250 0.250
Mg2 0.750 0.750 0.750
Si1 0.000 0.000 0.000
W1 0.500 0.500 0.500

The uncorrected formation energy comes out at 151 kJ/mol of formula units. Its total energy is -5.00 eV/atom. The total magnetic moment is 0.0 μB per formula unit. Its space group is R-3m (166).



(2)
The following is a DFT calculation (PBE) of a relaxed MgSi2W crystal.

Cell lengths 2.785, 2.785, 8.370 Å; angles 90.00, 90.00, 103.53 degrees
Fractional positions:
Mg1 0.000 0.000 0.000
Si1 0.000 0.000 0.501
Si2 0.500 0.500 0.268
W1 0.500 0.500 0.728

The uncorrected formation energy comes out at 126 kJ/mol of formula units. Its total energy is -6.02 eV/atom. The total magnetic moment is 0.0 μB per formula unit. Its space group is Cmm2 (35).



(3)
The following is a DFT calculation (PBE) of a relaxed Mg2SiW crystal.

Cell lengths 3.087, 4.361, 4.894 Å; angles 90.00, 90.00, 90.00 degrees
Fractional positions:
Mg1 0.000 0.000 0.000
Mg2 0.500 0.500 0.000
Si1 0.000 0.500 0.500
W1 0.500 0.000 0.500

The uncorrected formation energy comes out at 139 kJ/mol of formula units. Its total energy is -5.03 eV/atom. The total magnetic moment is 0.0 μB per formula unit. Its space group is Pmmm (47).



(4)
The following is a DFT calculation (PBE) of a relaxed MgSi2W crystal.

Cell lengths 3.253, 3.290, 5.878 Å; angles 90.00, 90.00, 90.00 degrees
Fractional positions:
Mg1 0.000 0.000 0.000
Si1 0.500 0.500 0.284
Si2 0.500 0.500 0.716
W1 0.000 0.000 0.500

The uncorrected formation energy comes out at 9 kJ/mol of formula units. Its total energy is -6.32 eV/atom. The total magnetic moment is 0.0 μB per formula unit. Its space group is Pmmm (47).



(5)
The following is a DFT calculation (PBE) of a relaxed Mg2SiW crystal.

Cell lengths 2.793, 4.536, 5.618 Å; angles 90.00, 104.35, 90.00 degrees
Fractional positions:
Mg1 0.000 0.000 0.000
Mg2 0.354 0.500 0.706
Si1 0.619 0.500 0.248
W1 0.735 0.000 0.466

The uncorrected formation energy comes out at 86 kJ/mol of formula units. Its total energy is -5.17 eV/atom. The total magnetic moment is 0.0 μB per formula unit. Its space group is Pm (6).



(6)
The following is a DFT calculation (PBE) of a relaxed MgSi2W crystal.

Cell lengths 6.765, 6.765, 6.765 Å; angles 125.17, 125.17, 81.26 degrees
Fractional positions:
Mg1 0.000 0.000 0.000
Mg2 0.750 0.250 0.500
Si1 0.167 0.625 0.042
Si2 0.375 0.417 0.542
Si3 0.583 0.125 0.958
Si4 0.875 0.833 0.458
W1 0.250 0.750 0.500
W2 0.500 0.500 0.000

The uncorrected formation energy comes out at 339 kJ/mol of formula units. Its total energy is -5.47 eV/atom. The total magnetic moment is 0.0 μB per formula unit. Its space group is I-42d (122).



(7)
The following is a DFT calculation (PBE) of a relaxed Mg2SiW crystal.

Cell lengths 2.801, 2.801, 8.657 Å; angles 90.00, 90.00, 90.00 degrees
Fractional positions:
Mg1 0.000 0.000 0.246
Mg2 0.000 0.000 0.754
Si1 0.500 0.500 0.000
W1 0.500 0.500 0.500

The uncorrected formation energy comes out at 117 kJ/mol of formula units. Its total energy is -5.09 eV/atom. The total magnetic moment is 0.0 μB per formula unit. Its space group is P4/mmm (123).



(8)
The following is a DFT calculation (PBE) of a relaxed Mg2SiW crystal.

Cell lengths 2.857, 2.857, 8.947 Å; angles 90.00, 90.00, 105.64 degrees
Fractional positions:
Mg1 0.000 0.000 0.000
Mg2 0.500 0.500 0.288
Si1 0.500 0.500 0.749
W1 0.000 0.000 0.543

The uncorrected formation energy comes out at 79 kJ/mol of formula units. Its total energy is -5.19 eV/atom. The total magnetic moment is 0.0 μB per formula unit. Its space group is Cmm2 (35).